No. 1
# LaZrNi2C | the Alexandria database | PBE-GGA | relaxed
# - density of states at the Fermi level (states/eV/cell) = 5.20
# - energy of formation from the pure elements (eV/f.u.) = 2.82
# - total magnetic moment (μB per formula unit) = 0.000
data_LaZrNi2C
_space_group_name_H-M_alt 'P 1'
_space_group_IT_number 1
_space_group_name_Hall 'P 1'
_cell_length_a 4.764
_cell_length_b 4.356
_cell_length_c 4.764
_cell_angle_alpha 90.00
_cell_angle_beta 90.00
_cell_angle_gamma 90.00
loop_
_atom_site_label
_atom_site_type_symbol
_atom_site_fract_x
_atom_site_fract_y
_atom_site_fract_z
Ni1 Ni 0.500 0.000 0.000
Ni2 Ni 0.000 0.000 0.500
C1 C 0.000 0.500 0.000
La1 La 0.500 0.500 0.500
Zr1 Zr 0.000 0.000 0.000


No. 2
# LaNpC | the Alexandria database | PBE-GGA | relaxed
# - density of states at the Fermi level (states/eV/cell) = 5.00
# - energy of formation from the pure elements (eV/f.u.) = 1.27
# - total magnetic moment (μB per formula unit) = 0.000
# - relative energy among the computed polymorphs (eV/atom) = 0.221
data_LaNpC
_space_group_name_H-M_alt 'P 1'
_space_group_IT_number 1
_space_group_name_Hall 'P 1'
_cell_length_a 4.652
_cell_length_b 3.927
_cell_length_c 7.208
_cell_angle_alpha 74.19
_cell_angle_beta 90.00
_cell_angle_gamma 90.00
loop_
_atom_site_label
_atom_site_type_symbol
_atom_site_fract_x
_atom_site_fract_y
_atom_site_fract_z
La1 La 0.750 0.669 0.661
La2 La 0.250 0.331 0.339
Np1 Np 0.500 0.000 0.000
Np2 Np 0.000 0.000 0.000
C1 C 0.250 0.143 0.713
C2 C 0.750 0.857 0.287


No. 3
# LaNpC2 | the Alexandria database | PBE-GGA | relaxed
# - density of states at the Fermi level (states/eV/cell) = 4.63
# - energy of formation from the pure elements (eV/f.u.) = 0.40
# - total magnetic moment (μB per formula unit) = 0.574
data_LaNpC2
_space_group_name_H-M_alt 'P 1'
_space_group_IT_number 1
_space_group_name_Hall 'P 1'
_cell_length_a 3.601
_cell_length_b 3.601
_cell_length_c 6.294
_cell_angle_alpha 73.38
_cell_angle_beta 73.38
_cell_angle_gamma 60.00
loop_
_atom_site_label
_atom_site_type_symbol
_atom_site_fract_x
_atom_site_fract_y
_atom_site_fract_z
C1 C 0.274 0.274 0.177
C2 C 0.726 0.726 0.823
Np1 Np 0.000 0.000 0.000
La1 La 0.500 0.500 0.500


No. 4
# LaNpC | the Alexandria database | PBE-GGA | relaxed
# - density of states at the Fermi level (states/eV/cell) = 8.14
# - energy of formation from the pure elements (eV/f.u.) = 0.60
# - total magnetic moment (μB per formula unit) = 4.090
# - relative energy among the computed polymorphs (eV/atom) = 0.000
data_LaNpC
_space_group_name_H-M_alt 'P 1'
_space_group_IT_number 1
_space_group_name_Hall 'P 1'
_cell_length_a 6.601
_cell_length_b 3.478
_cell_length_c 3.478
_cell_angle_alpha 120.00
_cell_angle_beta 90.00
_cell_angle_gamma 90.00
loop_
_atom_site_label
_atom_site_type_symbol
_atom_site_fract_x
_atom_site_fract_y
_atom_site_fract_z
Np1 Np 0.214 0.667 0.333
La1 La 0.766 0.333 0.667
C1 C 0.020 0.000 0.000


No. 5
# La2CO5 | the Alexandria database | PBE-GGA | relaxed
# - density of states at the Fermi level (states/eV/cell) = 0.00
# - energy relative to the elements, uncorrected (meV/atom) = -2822
# - total magnetic moment (μB per formula unit) = 0.000
# - relative energy among the computed polymorphs (eV/atom) = 0.021
data_La2CO5
_space_group_name_H-M_alt 'P 1'
_space_group_IT_number 1
_space_group_name_Hall 'P 1'
_cell_length_a 4.080
_cell_length_b 4.080
_cell_length_c 16.051
_cell_angle_alpha 90.00
_cell_angle_beta 90.00
_cell_angle_gamma 119.04
loop_
_atom_site_label
_atom_site_type_symbol
_atom_site_fract_x
_atom_site_fract_y
_atom_site_fract_z
O1 O 0.257 0.501 0.750
O2 O 0.662 0.326 0.556
O3 O 0.981 0.968 0.678
O4 O 0.968 0.981 0.322
O5 O 0.326 0.662 0.056
O6 O 0.981 0.968 0.822
O7 O 0.662 0.326 0.944
O8 O 0.326 0.662 0.444
O9 O 0.968 0.981 0.178
O10 O 0.501 0.257 0.250
La1 La 0.328 0.662 0.595
La2 La 0.662 0.328 0.095
La3 La 0.328 0.662 0.905
La4 La 0.662 0.328 0.405
C1 C 0.070 0.141 0.750
C2 C 0.141 0.070 0.250


No. 6
# LaCO2 | the Alexandria database | PBE-GGA | relaxed
# - density of states at the Fermi level (states/eV/cell) = 3.51
# - energy relative to the elements, uncorrected (meV/atom) = -603
# - total magnetic moment (μB per formula unit) = 0.545
data_LaCO2
_space_group_name_H-M_alt 'P 1'
_space_group_IT_number 1
_space_group_name_Hall 'P 1'
_cell_length_a 6.660
_cell_length_b 6.660
_cell_length_c 6.660
_cell_angle_alpha 30.84
_cell_angle_beta 30.84
_cell_angle_gamma 30.84
loop_
_atom_site_label
_atom_site_type_symbol
_atom_site_fract_x
_atom_site_fract_y
_atom_site_fract_z
O1 O 0.935 0.935 0.935
O2 O 0.065 0.065 0.065
C1 C 0.000 0.000 0.000
La1 La 0.500 0.500 0.500


No. 7
# LaC3O | the Alexandria database | PBE-GGA | relaxed
# - density of states at the Fermi level (states/eV/cell) = 8.54
# - energy relative to the elements, uncorrected (meV/atom) = 3491
# - total magnetic moment (μB per formula unit) = 3.413
# - relative energy among the computed polymorphs (eV/atom) = 1.494
data_LaC3O
_space_group_name_H-M_alt 'P 1'
_space_group_IT_number 1
_space_group_name_Hall 'P 1'
_cell_length_a 4.688
_cell_length_b 4.688
_cell_length_c 4.688
_cell_angle_alpha 90.00
_cell_angle_beta 90.00
_cell_angle_gamma 90.00
loop_
_atom_site_label
_atom_site_type_symbol
_atom_site_fract_x
_atom_site_fract_y
_atom_site_fract_z
C1 C 0.500 0.000 0.000
C2 C 0.000 0.000 0.500
C3 C 0.000 0.500 0.000
O1 O 0.500 0.500 0.500
La1 La 0.000 0.000 0.000


No. 8
# La2CO | the Alexandria database | PBE-GGA | relaxed
# - density of states at the Fermi level (states/eV/cell) = 2.70
# - energy relative to the elements, uncorrected (meV/atom) = -917
# - total magnetic moment (μB per formula unit) = 0.000
# - relative energy among the computed polymorphs (eV/atom) = 0.511
data_La2CO
_space_group_name_H-M_alt 'P 1'
_space_group_IT_number 1
_space_group_name_Hall 'P 1'
_cell_length_a 4.540
_cell_length_b 4.540
_cell_length_c 4.540
_cell_angle_alpha 60.00
_cell_angle_beta 60.00
_cell_angle_gamma 60.00
loop_
_atom_site_label
_atom_site_type_symbol
_atom_site_fract_x
_atom_site_fract_y
_atom_site_fract_z
La1 La 0.750 0.750 0.750
La2 La 0.250 0.250 0.250
O1 O 0.500 0.500 0.500
C1 C 0.000 0.000 0.000


No. 9
# La2CO | the Alexandria database | PBE-GGA | relaxed
# - energy relative to the elements, uncorrected (meV/atom) = -1346
# - total magnetic moment (μB per formula unit) = 0.000
# - relative energy among the computed polymorphs (eV/atom) = 0.081
data_La2CO
_space_group_name_H-M_alt 'P 1'
_space_group_IT_number 1
_space_group_name_Hall 'P 1'
_cell_length_a 3.748
_cell_length_b 3.748
_cell_length_c 6.860
_cell_angle_alpha 74.15
_cell_angle_beta 74.15
_cell_angle_gamma 60.00
loop_
_atom_site_label
_atom_site_type_symbol
_atom_site_fract_x
_atom_site_fract_y
_atom_site_fract_z
La1 La 0.264 0.264 0.208
La2 La 0.088 0.088 0.737
C1 C 0.665 0.665 0.005
O1 O 0.483 0.483 0.550


No. 10
# La4CO4 | the Alexandria database | PBE-GGA | relaxed
# - energy relative to the elements, uncorrected (meV/atom) = -2289
# - total magnetic moment (μB per formula unit) = 0.000
data_La4CO4
_space_group_name_H-M_alt 'P 1'
_space_group_IT_number 1
_space_group_name_Hall 'P 1'
_cell_length_a 5.913
_cell_length_b 5.913
_cell_length_c 6.902
_cell_angle_alpha 115.36
_cell_angle_beta 115.36
_cell_angle_gamma 90.00
loop_
_atom_site_label
_atom_site_type_symbol
_atom_site_fract_x
_atom_site_fract_y
_atom_site_fract_z
O1 O 0.270 0.270 0.539
O2 O 0.730 0.730 0.461
O3 O 0.000 0.500 0.000
O4 O 0.500 0.000 0.000
La1 La 0.661 0.661 0.764
La2 La 0.339 0.897 0.236
La3 La 0.897 0.339 0.236
La4 La 0.103 0.103 0.764
C1 C 0.000 0.000 0.000


No. 11
# La2CO | the Alexandria database | PBE-GGA | relaxed
# - density of states at the Fermi level (states/eV/cell) = 0.00
# - energy relative to the elements, uncorrected (meV/atom) = -1371
# - total magnetic moment (μB per formula unit) = 0.000
# - relative energy among the computed polymorphs (eV/atom) = 0.057
data_La2CO
_space_group_name_H-M_alt 'P 1'
_space_group_IT_number 1
_space_group_name_Hall 'P 1'
_cell_length_a 5.585
_cell_length_b 5.585
_cell_length_c 7.055
_cell_angle_alpha 66.68
_cell_angle_beta 66.68
_cell_angle_gamma 90.00
loop_
_atom_site_label
_atom_site_type_symbol
_atom_site_fract_x
_atom_site_fract_y
_atom_site_fract_z
La1 La 0.631 0.125 0.250
La2 La 0.375 0.369 0.750
La3 La 0.119 0.625 0.250
La4 La 0.875 0.881 0.750
C1 C 0.250 0.750 0.500
C2 C 0.500 0.500 0.000
O1 O 0.000 0.000 0.000
O2 O 0.750 0.250 0.500


| no. | DFT total energy (eV per atom) |
| --- | --- |
| 1 | -6.2890 |
| 2 | -8.6087 |
| 3 | -8.9785 |
| 4 | -8.8300 |
| 5 | -8.3058 |
| 6 | -6.6201 |
| 7 | -4.0208 |
| 8 | -6.9265 |
| 9 | -7.3557 |
| 10 | -7.7077 |
| 11 | -7.3805 |